A) First-principles (GGA+U) data for crystalline HoCoNO at its relaxed geometry, as listed in the Open Quantum Materials Database.

Summary:
**Volume**: 55 Å³/f.u.

a = 3.7071 Å, b = 6.0424 Å, c = 4.8819 Å
α = 90.00°, β = 90.00°, γ = 90.00°
Space group Pmc2_1 (No. 26)
Unique sites:
Ho: 0.0000 0.1943 0.0000 x2
Co: 0.5000 0.3095 0.5180 x2
N: 0.0000 0.1777 0.4857 x2
O: 0.5000 0.3672 0.9496 x2


B) First-principles (GGA+U) data for crystalline HoCoNO at its relaxed geometry, as listed in the Open Quantum Materials Database.

Summary:
**Volume**: 51 Å³/f.u.

a = 3.6497 Å, b = 3.6497 Å, c = 7.5935 Å
α = 90.00°, β = 90.00°, γ = 90.00°
Space group P4/nmm (No. 129, origin choice 2)
Unique sites:
Ho: 0.2500 0.2500 0.1552 x2
Co: 0.2500 0.7500 0.5000 x2
N: 0.2500 0.2500 0.6346 x2
O: 0.2500 0.7500 0.0000 x2


Stability verdict: A), ahead by 95 meV/atom